1.
DFT (PBE) results for crystalline BaLi5Mg2 at its relaxed geometry.

The structure in POSCAR format:
```
BaLi5Mg2
1.0
-2.3031 4.1499 5.8726
2.3031 -4.1499 5.8726
2.3031 4.1499 -5.8726
Ba Li Mg
1 5 2
Cartesian
0.0000 0.0000 0.0000 Ba
2.3031 2.6678 -1.6188 Li
2.3031 2.6678 1.6188 Li
0.0000 4.1499 0.0000 Li
0.0000 1.4821 4.2538 Li
0.0000 1.4821 7.4913 Li
2.3031 0.0000 2.9570 Mg
0.0000 4.1499 2.9156 Mg
```

Properties
The total DFT energy (no corrections) is -14.13 eV/cell.

=====

2.
DFT (PBE) results for crystalline Ba6LiMg5 at its relaxed geometry.

The structure in POSCAR format:
```
Ba6LiMg5
1.0
3.1091 -9.3247 0.0000
3.1091 9.3247 0.0000
0.0000 0.0000 8.6815
Ba Li Mg
6 1 5
Cartesian
0.0000 0.0000 2.1486 Ba
0.0000 0.0000 6.5329 Ba
3.1091 3.1147 2.1533 Ba
3.1091 3.1147 6.5282 Ba
3.1091 -3.1147 2.1533 Ba
3.1091 -3.1147 6.5282 Ba
3.1091 0.0000 4.3407 Li
3.1091 6.2286 0.0000 Mg
3.1091 6.1752 4.3407 Mg
3.1091 0.0000 0.0000 Mg
3.1091 -6.1752 4.3407 Mg
3.1091 -6.2286 0.0000 Mg
```

Properties
The total DFT energy (no corrections) is -21.94 eV/cell.

=====

3.
DFT (PBE) results for crystalline BaLi5Mg at its relaxed geometry.

The structure in POSCAR format:
```
BaLi5Mg
1.0
9.7745 0.0000 0.0000
0.0000 6.1682 0.0000
0.0000 0.0000 12.2499
Ba Li Mg
4 20 4
Cartesian
2.3237 1.5421 0.7803 Ba
2.5636 4.6262 6.9052 Ba
7.2110 1.5421 5.3447 Ba
7.4508 4.6262 11.4696 Ba
0.5504 4.6262 1.2328 Li
0.6310 0.0261 3.7990 Li
0.6310 3.0580 3.7990 Li
0.9757 1.5421 6.3117 Li
1.7852 1.5421 9.2433 Li
3.1020 4.6262 3.1184 Li
3.9116 4.6262 0.1868 Li
4.2562 3.1103 9.9239 Li
4.2562 6.1421 9.9239 Li
4.3369 1.5421 7.3578 Li
5.4376 4.6262 4.8921 Li
5.5183 0.0261 2.3260 Li
5.5183 3.0580 2.3260 Li
5.8630 1.5421 12.0632 Li
6.6725 1.5421 9.1316 Li
7.9893 4.6262 3.0066 Li
8.7988 4.6262 5.9382 Li
9.1435 3.1103 8.4510 Li
9.1435 6.1421 8.4510 Li
9.2242 1.5421 11.0171 Li
1.4198 4.6262 10.5348 Mg
3.4674 1.5421 4.4098 Mg
6.3071 4.6262 7.8401 Mg
8.3547 1.5421 1.7151 Mg
```

Properties
As for the polymorph energy (0 for the lowest one): 0.0 kJ per mole of atoms.

=====

4.
DFT (PBE) results for crystalline Ba2LiMg2 at its relaxed geometry.

The structure in POSCAR format:
```
Ba2LiMg2
1.0
-2.7335 3.1421 5.6683
2.7335 -3.1421 5.6683
2.7335 3.1421 -5.6683
Ba Li Mg
2 1 2
Cartesian
0.0000 0.0000 2.1974 Ba
0.0000 0.0000 9.1392 Ba
0.0000 3.1421 0.0000 Li
2.7335 1.5917 0.0000 Mg
0.0000 1.5504 5.6683 Mg
```

Properties
As for the polymorph energy (0 for the lowest one): 0.0 kJ per mole of atoms.

=====

5.
DFT (PBE) results for crystalline Ba4LiMg3 at its relaxed geometry.

The structure in POSCAR format:
```
Ba4LiMg3
1.0
4.3930 0.0000 0.0000
0.0000 4.3930 0.0000
0.0000 0.0000 17.4527
Ba Li Mg
4 1 3
Cartesian
0.0000 0.0000 2.1801 Ba
0.0000 0.0000 6.4975 Ba
0.0000 0.0000 10.9552 Ba
0.0000 0.0000 15.2726 Ba
2.1965 2.1965 8.7264 Li
2.1965 2.1965 0.0000 Mg
2.1965 2.1965 4.3559 Mg
2.1965 2.1965 13.0969 Mg
```

Properties
As for the polymorph energy (0 for the lowest one): 0.0 kJ per mole of atoms.

=====

6.
DFT (PBE) results for crystalline Ba2LiMg at its relaxed geometry.

The structure in POSCAR format:
```
Ba2LiMg
1.0
4.4214 0.0000 0.0000
0.0000 4.3861 0.0000
-0.0106 0.0000 8.7922
Ba Li Mg
2 1 1
Cartesian
-0.0013 0.0000 2.1305 Ba
4.4121 0.0000 6.6617 Ba
2.2054 2.1931 4.3961 Li
2.2107 2.1931 0.0000 Mg
```

Properties
The total DFT energy (no corrections) is -7.41 eV/cell.

=====

7.
DFT (PBE) results for crystalline Ba2LiMg at its relaxed geometry.

The structure in POSCAR format:
```
Ba2LiMg
1.0
-2.1301 3.1054 6.2369
2.1301 -3.1054 6.2369
2.1301 3.1054 -6.2369
Ba Li Mg
2 1 1
Cartesian
0.0000 0.0000 0.0000 Ba
0.0000 3.1054 2.5150 Ba
0.0000 0.0000 5.3981 Li
2.1301 0.0000 3.2400 Mg
```

Properties
The total DFT energy (no corrections) is -7.26 eV/cell.

=====

8.
DFT (PBE) results for crystalline Ba3LiMg8 at its relaxed geometry.

The structure in POSCAR format:
```
Ba3LiMg8
1.0
3.2241 1.8614 10.6417
-3.2241 1.8614 10.6417
0.0000 -3.7228 10.6417
Ba Li Mg
3 1 8
Cartesian
0.0000 0.0000 0.0000 Ba
0.0000 0.0000 4.0497 Ba
0.0000 0.0000 16.2156 Ba
0.0000 0.0000 20.0862 Li
-1.6303 -0.9412 12.6551 Mg
0.0000 -1.8619 7.4741 Mg
-1.6125 0.9309 7.4741 Mg
0.0000 0.0000 10.0321 Mg
1.6303 -0.9412 12.6551 Mg
0.0000 1.8825 12.6551 Mg
1.6125 0.9310 7.4741 Mg
0.0000 0.0000 26.0710 Mg
```

Properties
The total DFT energy (no corrections) is -20.91 eV/cell.

=====

9.
DFT (PBE) results for crystalline Ba3Li7Mg2 at its relaxed geometry.

The structure in POSCAR format:
```
Ba3Li7Mg2
1.0
3.2332 1.8667 10.3557
-3.2332 1.8667 10.3557
0.0000 -3.7334 10.3557
Ba Li Mg
3 7 2
Cartesian
0.0000 0.0000 0.0000 Ba
0.0000 0.0000 4.4273 Ba
0.0000 0.0000 26.6398 Ba
-1.5922 -0.9192 12.8198 Li
0.0000 -1.8385 18.2473 Li
-1.5922 0.9193 18.2473 Li
0.0000 0.0000 15.5336 Li
1.5922 -0.9192 12.8198 Li
0.0000 1.8385 12.8198 Li
1.5922 0.9192 18.2473 Li
0.0000 0.0000 10.3156 Mg
0.0000 0.0000 20.7515 Mg
```

Properties
The total DFT energy (no corrections) is -22.31 eV/cell.

=====

10.
DFT (PBE) results for crystalline BaLi4Mg2 at its relaxed geometry.

The structure in POSCAR format:
```
BaLi4Mg2
1.0
-3.8424 3.8424 3.6553
3.8424 -3.8424 3.6553
3.8424 3.8424 -3.6553
Ba Li Mg
1 4 2
Cartesian
0.0000 0.0000 0.0000 Ba
3.8424 2.0266 0.0000 Li
2.0266 3.8424 0.0000 Li
1.8158 0.0000 3.6553 Li
0.0000 1.8158 3.6553 Li
3.8424 0.0000 1.8277 Mg
0.0000 3.8424 1.8277 Mg
```

Properties
As for the polymorph energy (0 for the lowest one): 24.1 kJ per mole of atoms.

=====

11.
DFT (PBE) results for crystalline Ba2LiMg at its relaxed geometry.

The structure in POSCAR format:
```
Ba2LiMg
1.0
-2.9807 2.9807 4.2249
2.9807 -2.9807 4.2249
2.9807 2.9807 -4.2249
Ba Li Mg
2 1 1
Cartesian
0.0000 0.0000 0.0000 Ba
0.0000 2.9807 2.1124 Ba
2.9807 0.0000 2.1124 Li
0.0000 0.0000 4.2249 Mg
```

Properties
The total DFT energy (no corrections) is -7.12 eV/cell.

=====

12.
DFT (PBE) results for crystalline Ba5Li4Mg at its relaxed geometry.

The structure in POSCAR format:
```
Ba5Li4Mg
1.0
4.4128 0.0000 0.0000
0.0000 4.4128 0.0000
0.0000 0.0000 21.9828
Ba Li Mg
5 4 1
Cartesian
0.0000 0.0000 0.0000 Ba
0.0000 0.0000 4.3651 Ba
0.0000 0.0000 8.8451 Ba
0.0000 0.0000 13.1377 Ba
0.0000 0.0000 17.6177 Ba
2.2064 2.2064 2.1845 Li
2.2064 2.2064 6.6268 Li
2.2064 2.2064 15.3559 Li
2.2064 2.2064 19.7983 Li
2.2064 2.2064 10.9914 Mg
```

Properties
The total DFT energy (no corrections) is -18.61 eV/cell.

=====

13.
DFT (PBE) results for crystalline BaLi9Mg2 at its relaxed geometry.

The structure in POSCAR format:
```
BaLi9Mg2
1.0
9.8900 0.0000 0.0000
0.0000 9.8900 0.0000
0.0000 0.0000 5.8468
Ba Li Mg
2 18 4
Cartesian
0.0000 0.0000 0.0000 Ba
4.9450 4.9450 0.0000 Ba
0.0000 4.9450 2.9234 Li
0.6999 2.1533 2.9234 Li
1.7313 6.6763 1.3867 Li
1.7313 6.6763 4.4601 Li
2.1533 9.1901 2.9234 Li
2.7917 4.2451 2.9234 Li
3.2137 1.7313 1.3867 Li
3.2137 1.7313 4.4601 Li
4.2451 7.0983 2.9234 Li
4.9450 0.0000 2.9234 Li
5.6449 2.7917 2.9234 Li
6.6763 8.1587 1.3867 Li
6.6763 8.1587 4.4601 Li
7.0983 5.6449 2.9234 Li
7.7367 0.6999 2.9234 Li
8.1587 3.2137 1.3867 Li
8.1587 3.2137 4.4601 Li
9.1901 7.7367 2.9234 Li
1.1254 3.8196 0.0000 Mg
3.8196 8.7646 0.0000 Mg
6.0704 1.1254 0.0000 Mg
8.7646 6.0704 0.0000 Mg
```

Properties
The total DFT energy (no corrections) is -44.94 eV/cell.

=====

14.
DFT (PBE) results for crystalline Ba2Li4Mg at its relaxed geometry.

The structure in POSCAR format:
```
Ba2Li4Mg
1.0
-2.7098 2.7098 9.0612
2.7098 -2.7098 9.0612
2.7098 2.7098 -9.0612
Ba Li Mg
2 4 1
Cartesian
0.0000 0.0000 2.4953 Ba
0.0000 0.0000 15.6271 Ba
2.7098 0.0000 0.0000 Li
0.0000 0.0000 6.2614 Li
0.0000 2.7098 0.0000 Li
0.0000 0.0000 11.8610 Li
0.0000 0.0000 9.0612 Mg
```

Properties
The total DFT energy (no corrections) is -11.97 eV/cell.

=====

15.
DFT (PBE) results for crystalline Ba2LiMg at its relaxed geometry.

The structure in POSCAR format:
```
Ba2LiMg
1.0
5.5807 0.0000 0.0000
0.0000 2.3801 6.6629
0.0000 -2.3801 6.6629
Ba Li Mg
2 1 1
Cartesian
0.0000 0.0000 0.0000 Ba
2.7904 0.0000 3.8767 Ba
2.7904 0.0000 7.8029 Li
0.0000 0.0000 9.4603 Mg
```

Properties
The total DFT energy (no corrections) is -7.31 eV/cell.

=====

16.
DFT (PBE) results for crystalline Ba2LiMg2 at its relaxed geometry.

The structure in POSCAR format:
```
Ba2LiMg2
1.0
10.3493 0.0000 0.0000
0.0000 10.3493 0.0000
0.0000 0.0000 3.9155
Ba Li Mg
4 2 4
Cartesian
1.8975 3.2772 0.0000 Ba
3.2772 8.4519 0.0000 Ba
7.0722 1.8975 0.0000 Ba
8.4519 7.0722 0.0000 Ba
0.0000 0.0000 0.0000 Li
5.1747 5.1747 0.0000 Li
1.1166 6.2913 1.9577 Mg
4.0581 1.1166 1.9577 Mg
6.2913 9.2328 1.9577 Mg
9.2328 4.0581 1.9577 Mg
```

Properties
As for the polymorph energy (0 for the lowest one): 19.4 kJ per mole of atoms.

=====

17.
DFT (PBE) results for crystalline Ba2Li6Mg9 at its relaxed geometry.

The structure in POSCAR format:
```
Ba2Li6Mg9
1.0
6.2228 0.0000 0.0000
-3.1114 5.3891 0.0000
0.0000 0.0000 15.0744
Ba Li Mg
2 6 9
Cartesian
0.0000 0.0000 2.5188 Ba
0.0000 0.0000 12.5556 Ba
0.0000 3.5928 2.5439 Li
0.0000 3.5928 7.5372 Li
0.0000 3.5928 12.5305 Li
3.1114 1.7964 2.5439 Li
3.1114 1.7964 7.5372 Li
3.1114 1.7964 12.5305 Li
-1.5557 2.6946 0.0000 Mg
-1.5557 2.6946 5.0093 Mg
-1.5557 2.6946 10.0652 Mg
3.1114 0.0000 0.0000 Mg
3.1114 0.0000 5.0093 Mg
3.1114 0.0000 10.0652 Mg
1.5557 2.6946 0.0000 Mg
1.5557 2.6946 5.0093 Mg
1.5557 2.6946 10.0652 Mg
```

Properties
The total DFT energy (no corrections) is -28.55 eV/cell.

=====

18.
DFT (PBE) results for crystalline BaLi4Mg5 at its relaxed geometry.

The structure in POSCAR format:
```
BaLi4Mg5
1.0
3.6070 0.0000 0.0000
0.0000 3.6070 0.0000
0.0000 0.0000 18.5058
Ba Li Mg
1 4 5
Cartesian
0.0000 0.0000 0.0000 Ba
0.0000 0.0000 4.3564 Li
0.0000 0.0000 7.6182 Li
0.0000 0.0000 10.8876 Li
0.0000 0.0000 14.1494 Li
1.8035 1.8035 2.7714 Mg
1.8035 1.8035 5.9812 Mg
1.8035 1.8035 9.2529 Mg
1.8035 1.8035 12.5247 Mg
1.8035 1.8035 15.7344 Mg
```

Properties
The total DFT energy (no corrections) is -17.81 eV/cell.

=====

19.
DFT (PBE) results for crystalline BaLi17Mg at its relaxed geometry.

The structure in POSCAR format:
```
BaLi17Mg
1.0
4.9092 2.8343 5.1514
-4.9092 2.8343 5.1514
0.0000 -5.6686 5.1514
Ba Li Mg
1 17 1
Cartesian
0.0000 0.0000 0.0000 Ba
0.0000 -2.2143 2.9466 Li
-1.9177 1.1072 2.9466 Li
-2.6300 -1.5184 7.7345 Li
0.0000 -2.3836 7.3413 Li
-2.0643 1.1918 7.3413 Li
-1.3671 -2.6022 10.2569 Li
-2.9371 0.1171 10.2569 Li
1.9177 1.1072 2.9466 Li
0.0000 0.0000 8.8461 Li
1.3672 -2.6022 10.2569 Li
-1.5700 2.4851 10.2569 Li
2.6300 -1.5184 7.7345 Li
0.0000 3.0369 7.7345 Li
0.0000 0.0000 11.6141 Li
2.0643 1.1918 7.3413 Li
2.9371 0.1171 10.2569 Li
1.5700 2.4851 10.2569 Li
0.0000 0.0000 5.3466 Mg
```

Properties
The total DFT energy (no corrections) is -35.27 eV/cell.

=====

20.
DFT (PBE) results for crystalline BaLiMg3 at its relaxed geometry.

The structure in POSCAR format:
```
BaLiMg3
1.0
5.3022 0.0000 0.0000
0.0000 5.3022 0.0000
0.0000 0.0000 5.3022
Ba Li Mg
1 1 3
Cartesian
0.0000 0.0000 0.0000 Ba
2.6511 2.6511 2.6511 Li
0.0000 2.6511 2.6511 Mg
2.6511 0.0000 2.6511 Mg
2.6511 2.6511 0.0000 Mg
```

Properties
As for the polymorph energy (0 for the lowest one): 7.7 kJ per mole of atoms.

=====

21.
DFT (PBE) results for crystalline Ba2Li2Mg3 at its relaxed geometry.

The structure in POSCAR format:
```
Ba2Li2Mg3
1.0
6.1114 -2.4491 0.0000
6.1114 2.4491 0.0000
-3.9483 0.0000 7.7080
Ba Li Mg
2 2 3
Cartesian
0.6247 0.0000 1.9884 Ba
7.6499 0.0000 5.7196 Ba
-1.1810 0.0000 5.4116 Li
9.4556 0.0000 2.2964 Li
4.0570 0.0000 0.5464 Mg
4.1373 0.0000 3.8540 Mg
4.2176 0.0000 7.1616 Mg
```

Properties
The total DFT energy (no corrections) is -12.69 eV/cell.

=====

22.
DFT (PBE) results for crystalline BaLi3Mg3 at its relaxed geometry.

The structure in POSCAR format:
```
BaLi3Mg3
1.0
7.5769 0.0000 0.0000
0.0000 7.5769 0.0000
0.0000 0.0000 7.5769
Ba Li Mg
2 6 6
Cartesian
0.0000 0.0000 0.0000 Ba
3.7885 3.7885 3.7885 Ba
0.0000 1.8942 3.7885 Li
0.0000 5.6827 3.7885 Li
1.8942 3.7885 0.0000 Li
3.7885 0.0000 1.8942 Li
3.7885 0.0000 5.6827 Li
5.6827 3.7885 0.0000 Li
0.0000 3.7885 1.8942 Mg
0.0000 3.7885 5.6827 Mg
1.8942 0.0000 3.7885 Mg
3.7885 1.8942 0.0000 Mg
3.7885 5.6827 0.0000 Mg
5.6827 0.0000 3.7885 Mg
```

Properties
The total DFT energy (no corrections) is -21.38 eV/cell.

=====

Magnetic moment (μB per cell)
0.000 0.000 0.000 0.000 0.000 0.000 0.000 0.000 0.000 0.000 0.000 0.001 0.000 0.000 0.000 0.000 0.000 0.000 0.000 0.000 0.000 0.000
Ρ (kg/m³)
1632 3142 1766 2816 3102 2979 3078 2658 2255 1644 3383 2866 1443 2038 2870 2615 1757 1977 1080 2419 2601 1764